## A
Y4Te after structural relaxation. Source: Alexandria, functional GGA-PBE.

Geometry as POSCAR:
```
Y4Te
1.0
-5.2455 0.8729 -2.0417
-2.1710 -0.9168 5.1858
0.4661 5.5537 1.1769
Y Te
4 1
direct
0.0000 0.0000 0.0000 Y
0.5000 0.0000 0.5000 Y
0.0000 0.5000 0.5000 Y
0.5000 0.5000 0.0000 Y
0.5000 0.5000 0.5000 Te
```


## B
Y4Te after structural relaxation. Source: Alexandria, functional GGA-PBE.

Geometry as POSCAR:
```
Y4Te
1.0
-2.0797 2.0797 9.5346
2.0797 -2.0797 9.5346
2.0797 2.0797 -9.5346
Y Te
4 1
direct
0.7500 0.2500 0.5000 Y
0.2500 0.7500 0.5000 Y
0.5937 0.5937 0.0000 Y
0.4063 0.4063 0.0000 Y
0.0000 0.0000 0.0000 Te
```


## C
Y4Te after structural relaxation. Source: Alexandria, functional GGA-PBE.

Geometry as POSCAR:
```
Y4Te
1.0
-1.5626 -5.7475 -1.1534
-3.2292 5.0369 1.0041
2.4039 1.4475 -5.3788
Y Te
4 1
direct
0.8158 0.3797 0.1955 Y
0.3797 0.1842 0.5640 Y
0.1842 0.6203 0.8045 Y
0.6203 0.8158 0.4360 Y
0.0000 0.0000 0.0000 Te
```


## D
Y4Te after structural relaxation. Source: Alexandria, functional GGA-PBE.

Geometry as POSCAR:
```
Y4Te
1.0
4.1994 -4.3373 1.0170
2.7330 5.0036 -2.2308
-2.8174 1.3852 5.2560
Y Te
4 1
direct
0.5000 0.0000 0.0000 Y
0.5000 0.5000 0.5000 Y
0.0000 0.5000 0.0000 Y
0.0000 0.0000 0.5000 Y
0.0000 0.0000 0.0000 Te
```


Which is most stable, and by how much? C, by 0.257 eV/atom.


## A
Y5ZnTe2 after structural relaxation. Source: Alexandria, functional GGA-PBE.

Geometry as POSCAR:
```
Y5ZnTe2
1.0
-3.3438 -3.2209 3.7650
6.8914 -0.6711 0.8013
-0.0190 9.9933 8.5323
Y Zn Te
10 2 4
direct
0.9445 0.8890 0.8860 Y
0.9445 0.8890 0.6140 Y
0.3829 0.7658 0.4312 Y
0.3829 0.7658 0.0688 Y
0.6376 0.2751 0.2500 Y
0.3624 0.7249 0.7500 Y
0.6171 0.2342 0.5688 Y
0.6171 0.2342 0.9312 Y
0.0555 0.1110 0.1140 Y
0.0555 0.1110 0.3860 Y
0.7594 0.5187 0.7500 Zn
0.2406 0.4813 0.2500 Zn
0.8121 0.6243 0.4150 Te
0.8121 0.6243 0.0850 Te
0.1879 0.3757 0.5850 Te
0.1879 0.3757 0.9150 Te
```


## B
Y5ZnTe2 after structural relaxation. Source: Alexandria, functional GGA-PBE.

Geometry as POSCAR:
```
Y5ZnTe2
1.0
-1.6634 2.2457 -3.5197
-7.3806 -0.2118 3.3528
2.2441 10.4379 5.5993
Y Zn Te
10 2 4
direct
0.0000 0.0000 0.5000 Y
0.0000 0.5000 0.0000 Y
0.0000 0.8512 0.2110 Y
0.0000 0.1488 0.7890 Y
0.0000 0.6488 0.7110 Y
0.0000 0.3512 0.2890 Y
0.5000 0.6945 0.4363 Y
0.5000 0.3055 0.5637 Y
0.5000 0.8055 0.9363 Y
0.5000 0.1945 0.0637 Y
0.0000 0.5000 0.5000 Zn
0.0000 0.0000 0.0000 Zn
0.5000 0.5754 0.1752 Te
0.5000 0.4246 0.8248 Te
0.5000 0.9246 0.6752 Te
0.5000 0.0754 0.3248 Te
```


Which is most stable, and by how much? B, by 0.199 eV/atom.